# 1
## MnMoAu2 (PBE-GGA)

Data for a relaxed structure of MnMoAu2. Values from VASP.

Results
Its energy relative to the lowest polymorph listed for this composition is 111 meV/atom. The value obtained for the magnetic moment is 1.90 μB per formula unit. Its formation energy is 0.246 eV/atom.

```
&SYSTEM
  ibrav = 0, nat = 8, ntyp = 3
/
ATOMIC_SPECIES
Mn 54.94 Mn.upf
Mo 95.94 Mo.upf
Au 196.97 Au.upf
ATOMIC_POSITIONS angstrom
Mn 0.000 0.000 0.000
Mn 2.006 2.006 4.070
Mo 0.000 0.000 4.070
Mo 2.006 2.006 0.000
Au 0.000 2.006 2.035
Au 0.000 2.006 6.105
Au 2.006 0.000 2.035
Au 2.006 0.000 6.105
CELL_PARAMETERS angstrom
4.011 0.000 0.000
0.000 4.011 0.000
0.000 0.000 8.140
```

=====

# 2
## PaAgBi2O8 (PBE-GGA)

Data for a relaxed structure of PaAgBi2O8. Values from VASP.

Results
The energy comes out at -74.93 eV/cell. The value obtained for the magnetic moment is 0.00 μB per formula unit.

```
&SYSTEM
  ibrav = 0, nat = 12, ntyp = 4
/
ATOMIC_SPECIES
Pa 231.04 Pa.upf
Ag 107.87 Ag.upf
Bi 208.98 Bi.upf
O 16.00 O.upf
ATOMIC_POSITIONS angstrom
Pa 0.000 0.000 0.000
Ag 3.644 0.000 1.843
Bi 0.000 0.000 3.687
Bi 0.000 3.644 1.843
O 2.237 3.644 -1.559
O 1.407 0.000 2.127
O 0.000 2.077 0.470
O 3.644 2.237 1.559
O 0.000 5.212 0.470
O 0.000 1.407 5.246
O -1.567 3.644 3.217
O 1.567 3.644 3.217
CELL_PARAMETERS angstrom
-3.644 3.644 3.687
3.644 -3.644 3.687
3.644 3.644 -3.687
```

=====

# 3
## La2TlAs (PBE-GGA)

Data for a relaxed structure of La2TlAs. Values from VASP.

Results
Its energy relative to the lowest polymorph listed for this composition is 100 meV/atom. The value obtained for the magnetic moment is 0.00 μB per formula unit. Its formation energy is -0.833 eV/atom.

```
&SYSTEM
  ibrav = 0, nat = 4, ntyp = 3
/
ATOMIC_SPECIES
La 138.91 La.upf
Tl 204.38 Tl.upf
As 74.92 As.upf
ATOMIC_POSITIONS angstrom
La 0.000 0.000 1.656
La 0.000 0.000 5.778
Tl 1.956 1.956 3.717
As 1.956 1.956 0.000
CELL_PARAMETERS angstrom
3.913 0.000 0.000
0.000 3.913 0.000
0.000 0.000 7.434
```

=====

# 4
## Er3SbOs (PBE-GGA)

Data for a relaxed structure of Er3SbOs. Values from VASP.

Results
The energy comes out at -63.40 eV/cell. The value obtained for the magnetic moment is 0.00 μB per formula unit.

```
&SYSTEM
  ibrav = 0, nat = 10, ntyp = 3
/
ATOMIC_SPECIES
Er 167.26 Er.upf
Sb 121.76 Sb.upf
Os 190.23 Os.upf
ATOMIC_POSITIONS angstrom
Er 0.041 0.000 1.598
Er 0.145 0.000 5.561
Er 5.031 0.000 1.468
Er 5.152 0.000 5.814
Er 10.039 0.000 1.721
Er 10.142 0.000 5.684
Sb 2.866 0.000 3.714
Sb 7.317 0.000 3.568
Os 2.459 0.000 0.026
Os 7.724 0.000 7.256
CELL_PARAMETERS angstrom
7.417 -2.450 0.000
7.417 2.450 0.000
-4.651 0.000 7.282
```

=====

# 5
## MnBeTcPd (PBE-GGA)

Data for a relaxed structure of MnBeTcPd. Values from VASP.

Results
Its energy relative to the lowest polymorph listed for this composition is 114 meV/atom. The value obtained for the magnetic moment is 2.27 μB per formula unit. Its formation energy is -0.065 eV/atom.

```
&SYSTEM
  ibrav = 0, nat = 4, ntyp = 4
/
ATOMIC_SPECIES
Mn 54.94 Mn.upf
Be 9.01 Be.upf
Tc 98.00 Tc.upf
Pd 106.42 Pd.upf
ATOMIC_POSITIONS angstrom
Mn 0.000 0.000 0.000
Be 0.000 2.022 2.118
Tc 1.483 2.022 0.000
Pd 1.483 0.000 2.118
CELL_PARAMETERS angstrom
2.966 0.000 0.000
0.000 4.044 0.000
0.000 0.000 4.237
```

=====

# 6
## VCdAs2 (PBE-GGA)

Data for a relaxed structure of VCdAs2. Values from VASP.

Results
The value obtained for the magnetic moment is 0.00 μB per formula unit. Its formation energy is -0.162 eV/atom.

```
&SYSTEM
  ibrav = 0, nat = 12, ntyp = 3
/
ATOMIC_SPECIES
V 50.94 V.upf
Cd 112.41 Cd.upf
As 74.92 As.upf
ATOMIC_POSITIONS angstrom
V 0.000 0.000 0.000
V 0.000 1.821 18.047
V 1.577 0.910 9.024
Cd 0.000 0.000 13.535
Cd 0.000 1.821 4.512
Cd 1.577 0.910 22.559
As 0.000 0.000 10.733
As 0.000 0.000 16.338
As 0.000 1.821 1.709
As 0.000 1.821 7.314
As 1.577 0.910 19.756
As 1.577 0.910 25.362
CELL_PARAMETERS angstrom
3.154 0.000 0.000
-1.577 2.731 0.000
0.000 0.000 27.071
```

=====

# 7
## Ca4Sb6Rh7 (PBE-GGA)

Data for a relaxed structure of Ca4Sb6Rh7. Values from VASP.

Results
The energy comes out at -97.20 eV/cell. The value obtained for the magnetic moment is 0.00 μB per formula unit.

```
&SYSTEM
  ibrav = 0, nat = 17, ntyp = 3
/
ATOMIC_SPECIES
Ca 40.08 Ca.upf
Sb 121.76 Sb.upf
Rh 102.91 Rh.upf
ATOMIC_POSITIONS angstrom
Ca 2.199 2.199 -2.199
Ca 2.199 -2.199 2.199
Ca -2.199 2.199 2.199
Ca 2.199 2.199 2.199
Sb 2.804 0.000 0.000
Sb 5.993 0.000 0.000
Sb 0.000 2.804 0.000
Sb 0.000 0.000 2.804
Sb 0.000 5.993 0.000
Sb 0.000 0.000 5.993
Rh 0.000 0.000 0.000
Rh 4.399 2.199 0.000
Rh 4.399 0.000 2.199
Rh 2.199 4.399 0.000
Rh 2.199 0.000 4.399
Rh 0.000 4.399 2.199
Rh 0.000 2.199 4.399
CELL_PARAMETERS angstrom
-4.399 4.399 4.399
4.399 -4.399 4.399
4.399 4.399 -4.399
```

=====

# 8
## Ge2IrS2 (PBE-GGA)

Data for a relaxed structure of Ge2IrS2. Values from VASP.

Results
The energy comes out at -53.66 eV/cell. The value obtained for the magnetic moment is 0.00 μB per formula unit.

```
&SYSTEM
  ibrav = 0, nat = 10, ntyp = 3
/
ATOMIC_SPECIES
Ge 72.64 Ge.upf
Ir 192.22 Ir.upf
S 32.06 S.upf
ATOMIC_POSITIONS angstrom
Ge 0.061 0.000 1.219
Ge 1.366 1.777 4.495
Ge 5.095 1.777 1.219
Ge 6.400 0.000 4.495
Ir -1.803 0.000 2.857
Ir 3.231 1.777 2.857
S -0.929 1.777 4.186
S 2.357 0.000 1.528
S 4.104 0.000 4.186
S 7.391 1.777 1.528
CELL_PARAMETERS angstrom
10.068 0.000 0.000
0.000 3.554 0.000
-3.607 0.000 5.714
```

=====

# 9
## K2CuP (PBE-GGA)

Data for a relaxed structure of K2CuP. Values from VASP.

Results
The value obtained for the magnetic moment is 0.32 μB per formula unit. Its formation energy is 0.404 eV/atom.

```
&SYSTEM
  ibrav = 0, nat = 4, ntyp = 3
/
ATOMIC_SPECIES
K 39.10 K.upf
Cu 63.55 Cu.upf
P 30.97 P.upf
ATOMIC_POSITIONS angstrom
K 0.000 0.000 0.000
K 1.438 3.006 3.217
Cu 0.000 0.000 3.217
P 1.438 3.006 0.000
CELL_PARAMETERS angstrom
2.876 0.000 0.000
0.000 6.012 0.000
0.000 0.000 6.433
```

=====

# 10
## Pa2Mn5Ge3 (PBE-GGA)

Data for a relaxed structure of Pa2Mn5Ge3. Values from VASP.

Results
Its energy relative to the lowest polymorph listed for this composition is 0 meV/atom. The value obtained for the magnetic moment is 1.71 μB per formula unit. Its formation energy is -0.264 eV/atom.

```
&SYSTEM
  ibrav = 0, nat = 20, ntyp = 3
/
ATOMIC_SPECIES
Pa 231.04 Pa.upf
Mn 54.94 Mn.upf
Ge 72.64 Ge.upf
ATOMIC_POSITIONS angstrom
Pa 2.006 11.095 3.577
Pa 2.006 3.821 6.938
Pa 2.006 -3.821 3.360
Pa 2.006 -11.095 0.000
Mn 2.006 8.081 5.903
Mn 2.006 6.531 0.694
Mn 2.006 5.657 5.046
Mn 2.006 2.812 3.905
Mn 2.006 0.909 5.336
Mn 2.006 -0.909 1.759
Mn 2.006 -2.812 0.328
Mn 2.006 -5.657 1.469
Mn 2.006 -6.531 4.271
Mn 2.006 -8.081 2.326
Ge 2.006 8.741 1.738
Ge 2.006 4.959 2.700
Ge 2.006 1.555 1.773
Ge 2.006 -1.555 5.350
Ge 2.006 -4.959 6.277
Ge 2.006 -8.741 5.315
CELL_PARAMETERS angstrom
2.006 -11.153 0.000
2.006 11.153 0.000
0.000 0.000 7.154
```

=====

# 11
## CaHo2Pt (PBE-GGA)

Data for a relaxed structure of CaHo2Pt. Values from VASP.

Results
Its energy relative to the lowest polymorph listed for this composition is 9 meV/atom. The value obtained for the magnetic moment is 0.00 μB per formula unit. Its formation energy is -0.573 eV/atom.

```
&SYSTEM
  ibrav = 0, nat = 12, ntyp = 3
/
ATOMIC_SPECIES
Ca 40.08 Ca.upf
Ho 164.93 Ho.upf
Pt 195.08 Pt.upf
ATOMIC_POSITIONS angstrom
Ca 0.000 0.000 0.000
Ca 0.000 2.348 18.595
Ca 2.033 1.174 9.297
Ho 0.000 0.000 6.141
Ho 0.000 0.000 21.751
Ho 0.000 2.348 12.454
Ho 0.000 2.348 24.736
Ho 2.033 1.174 3.156
Ho 2.033 1.174 15.439
Pt 0.000 0.000 13.946
Pt 0.000 2.348 4.649
Pt 2.033 1.174 23.243
CELL_PARAMETERS angstrom
4.066 0.000 0.000
-2.033 3.521 0.000
0.000 0.000 27.892
```

=====

# 12
## AcPmNd (PBE-GGA)

Data for a relaxed structure of AcPmNd. Values from VASP.

Results
Its energy relative to the lowest polymorph listed for this composition is 8 meV/atom. The value obtained for the magnetic moment is 0.00 μB per formula unit. Its formation energy is 0.041 eV/atom.

```
&SYSTEM
  ibrav = 0, nat = 6, ntyp = 3
/
ATOMIC_SPECIES
Ac 227.00 Ac.upf
Pm 145.00 Pm.upf
Nd 144.24 Nd.upf
ATOMIC_POSITIONS angstrom
Ac 0.000 2.186 7.560
Ac 1.893 1.093 10.905
Pm 0.000 0.000 4.436
Pm 0.000 0.000 14.029
Nd 0.000 2.186 16.970
Nd 1.893 1.093 1.496
CELL_PARAMETERS angstrom
3.787 0.000 0.000
-1.893 3.279 0.000
0.000 0.000 18.466
```